DFT (PBE-GGA) results for a geometry-optimized Tb3Pm8Tl structure.

Cell lengths 8.4402, 8.4402, 8.4401 Å; angles 93.73, 117.87, 117.87 degrees
Positions (direct):
Tb (0.5000, 0.7500, 0.2500)
Tb (0.5000, 0.2500, 0.7500)
Tb (0.0000, 0.5000, 0.5000)
Pm (0.5103, 0.2755, 0.2755)
Pm (0.4897, 0.7651, 0.7651)
Pm (0.0000, 0.7245, 0.2349)
Pm (0.0000, 0.2349, 0.7245)
Pm (0.2551, 0.3820, 0.3820)
Pm (0.7449, 0.1269, 0.1269)
Pm (0.0000, 0.6180, 0.8731)
Pm (0.0000, 0.8731, 0.6180)
Tl (0.0000, 0.0000, 0.0000)

- formation energy (eV/atom) = 0.465
- spin magnetization (μB per formula unit) = 0.0
- calculated density (Mg/m³) = 6.98
- V (Å³/cell) = 437.81